SrP2Cl GGA-PBE relaxed; distance to the lowest polymorph of the same formula = 114 meV/atom; formation energy from raw total energies = -0.85 eV/atom; final energy = -17.77 eV/cell; DOS at the Fermi energy = 0.649 states/eV/cell
1.0
5.6250 -0.0002 0.0040
1.3628 5.4575 -0.0040
-2.4986 -4.0031 3.0616
Cl P Sr
1 2 1
direct
0.2447 0.7447 0.5000
0.9556 0.9556 0.0000
0.8051 0.3051 0.5000
0.4946 0.4946 0.0000